Entry 1:
Material: InHgIBr
Method: DFT, GGA-PBE
State: optimized geometry

The calculation puts the total energy at -1.6793 eV/atom. The density of states at the Fermi level is 3.30 states/eV/f.u.

The structure belongs to space group F-43m (No. 216); the cell edges are 8.015, 8.015 and 8.015 Å and the angles 90.00°, 90.00° and 90.00°. Symmetry generates all atoms from In at (0.000, 0.000, 0.000), Hg at (0.250, 0.250, 0.250), I at (0.000, 0.000, 0.500) and Br at (0.250, 0.250, 0.750).


Entry 2:
Material: CaAlF2
Method: DFT, GGA-PBE
State: optimized geometry

The calculation puts the total energy at -4.0935 eV/atom. The density of states at the Fermi level is 4.00 states/eV/f.u. The calculation puts the polymorph energy (0 for the lowest one) at 68.9 kJ per mole of atoms.

The structure belongs to space group Fm-3m (No. 225); the cell edges are 6.429, 6.429 and 6.429 Å and the angles 90.00°, 90.00° and 90.00°. Symmetry generates all atoms from Ca at (0.000, 0.000, 0.000), Al at (0.000, 0.000, 0.500) and F at (0.250, 0.250, 0.250).


Entry 3:
Material: Zn4Re
Method: DFT, GGA-PBE
State: optimized geometry

The calculation puts the total energy at -2.4700 eV/atom. The density of states at the Fermi level is 5.49 states/eV/f.u. The calculation puts the energy of formation from the pure elements at 1039 meV per atom. The calculation puts the polymorph energy (0 for the lowest one) at 49.5 kJ per mole of atoms.

The structure belongs to space group Pm-3m (No. 221); the cell edges are 4.925, 4.925 and 4.925 Å and the angles 90.00°, 90.00° and 90.00°. Symmetry generates all atoms from Zn at (0.000, 0.000, 0.000), Zn at (0.000, 0.500, 0.500) and Re at (0.500, 0.500, 0.500).


Entry 4:
Material: Sm4Hg2N
Method: DFT, GGA-PBE
State: optimized geometry

The calculation puts the total energy at -4.5445 eV/atom. The density of states at the Fermi level is 6.76 states/eV/f.u. The calculation puts the polymorph energy (0 for the lowest one) at 9.6 kJ per mole of atoms.

The structure belongs to space group Pbam (No. 55); the cell edges are 7.963, 12.826 and 3.676 Å and the angles 90.00°, 90.00° and 90.00°. Symmetry generates all atoms from Sm at (0.113, 0.182, 0.000), Sm at (0.200, 0.952, 0.500), Hg at (0.068, 0.656, 0.500) and N at (0.000, 0.000, 0.000).


Entry 5:
Material: HfFeHgP2
Method: DFT, GGA-PBE
State: optimized geometry

The calculation puts the total energy at -5.4692 eV/atom. The density of states at the Fermi level is 5.37 states/eV/f.u. The calculation puts the energy of formation from the pure elements at 438 meV per atom.

The structure belongs to space group P4/mmm (No. 123); the cell edges are 4.297, 4.297 and 5.017 Å and the angles 90.00°, 90.00° and 90.00°. Symmetry generates all atoms from Hf at (0.000, 0.000, 0.000), Fe at (0.500, 0.500, 0.500), Hg at (0.500, 0.500, 0.000) and P at (0.000, 0.500, 0.500).


Entry 6:
Material: RbPb3
Method: DFT, GGA-PBE
State: optimized geometry

The calculation puts the total energy at -2.9953 eV/atom. The density of states at the Fermi level is 2.21 states/eV/f.u. The calculation puts the energy of formation from the pure elements at 28 meV per atom.

The structure belongs to space group Pm-3m (No. 221); the cell edges are 5.157, 5.157 and 5.157 Å and the angles 90.00°, 90.00° and 90.00°. Symmetry generates all atoms from Rb at (0.000, 0.000, 0.000) and Pb at (0.000, 0.500, 0.500).


Entry 7:
Material: LiDyAg
Method: DFT, GGA-PBE
State: optimized geometry

The calculation puts the total energy at -3.2768 eV/atom. The density of states at the Fermi level is 1.07 states/eV/f.u. The calculation puts the energy of formation from the pure elements at -154 meV per atom. The calculation puts the polymorph energy (0 for the lowest one) at 3.3 kJ per mole of atoms.

The structure belongs to space group I4mm (No. 107); the cell edges are 3.640, 3.640 and 9.757 Å and the angles 90.00°, 90.00° and 90.00°. Symmetry generates all atoms from Li at (0.000, 0.000, 0.000), Dy at (0.000, 0.000, 0.305) and Ag at (0.000, 0.000, 0.630).


Entry 8:
Material: SiWBr2
Method: DFT, GGA-PBE
State: optimized geometry

The calculation puts the total energy at -4.7327 eV/atom. The density of states at the Fermi level is 1.98 states/eV/f.u. The calculation puts the polymorph energy (0 for the lowest one) at 54.7 kJ per mole of atoms.

The structure belongs to space group R-3m (No. 166, hexagonal axes); the cell edges are 3.1522, 3.1522 and 34.0668 Å and the angles 90.00°, 90.00° and 120.00°. Symmetry generates all atoms from Si at (0.0000, 0.0000, 0.0000), W at (0.0000, 0.0000, 0.5000) and Br at (0.0000, 0.0000, 0.1109).


Entry 9:
Material: Al12ZnGa6
Method: DFT, GGA-PBE
State: optimized geometry

The calculation puts the total energy at -3.3142 eV/atom. The density of states at the Fermi level is 7.22 states/eV/f.u. The calculation puts the energy of formation from the pure elements at 72 meV per atom. The calculation puts the polymorph energy (0 for the lowest one) at 0.0 kJ per mole of atoms.

The structure belongs to space group R-3 (No. 148, hexagonal axes); the cell edges are 13.6569, 13.6569 and 6.3229 Å and the angles 90.00°, 90.00° and 120.00°. Symmetry generates all atoms from Al at (0.0400, 0.1419, 0.3299), Al at (0.0746, 0.2341, 0.9147), Zn at (0.0000, 0.0000, 0.0000) and Ga at (0.0263, 0.6130, 0.0707).


Entry 10:
Material: Ta5Ti5As6
Method: DFT, GGA-PBE
State: optimized geometry

The calculation puts the total energy at -8.5215 eV/atom. The density of states at the Fermi level is 10.21 states/eV/f.u. The calculation puts the energy of formation from the pure elements at -607 meV per atom.

The structure belongs to space group Amm2 (No. 38); the cell edges are 5.172, 13.148 and 7.609 Å and the angles 90.00°, 90.00° and 90.00°. Symmetry generates all atoms from Ta at (0.000, 0.000, 0.000), Ta at (0.000, 0.110, 0.672), Ta at (0.500, 0.131, 0.915), Ti at (0.253, 0.167, 0.281), Ti at (0.500, 0.000, 0.519), As at (0.000, 0.000, 0.380), As at (0.000, 0.203, 0.985), As at (0.500, 0.000, 0.172) and As at (0.500, 0.189, 0.589).


Entry 11:
Material: ErB12C3
Method: DFT, GGA-PBE
State: optimized geometry

The calculation puts the total energy at -6.4896 eV/atom. The density of states at the Fermi level is 3.14 states/eV/f.u. The calculation puts the energy of formation from the pure elements at 533 meV per atom.

The structure belongs to space group R3c (No. 161, hexagonal axes); the cell edges are 11.0286, 11.0286 and 8.7961 Å and the angles 90.00°, 90.00° and 120.00°. Symmetry generates all atoms from Er at (0.0000, 0.0000, 0.0000), B at (0.0655, 0.4768, 0.1046), B at (0.1606, 0.4368, 0.4747), B at (0.1629, 0.3811, 0.8125), B at (0.1679, 0.4080, 0.1353) and C at (0.0027, 0.3212, 0.1405).


Entry 12:
Material: Li2Ho3Ni7
Method: DFT, GGA-PBE
State: optimized geometry

The calculation puts the total energy at -5.1737 eV/atom. The density of states at the Fermi level is 8.10 states/eV/f.u. The calculation puts the energy of formation from the pure elements at -338 meV per atom.

The structure belongs to space group R-3m (No. 166, hexagonal axes); the cell edges are 5.0411, 5.0411 and 23.9610 Å and the angles 90.00°, 90.00° and 120.00°. Symmetry generates all atoms from Li at (0.0000, 0.0000, 0.1652), Ho at (0.0000, 0.0000, 0.3612), Ho at (0.0000, 0.0000, 0.5000), Ni at (0.0000, 0.0000, 0.0000) and Ni at (0.0036, 0.5018, 0.4164).


Entry 13:
Material: CaHg2Br
Method: DFT, GGA-PBE
State: optimized geometry

The calculation puts the total energy at -1.7701 eV/atom. The density of states at the Fermi level is 1.72 states/eV/f.u. The calculation puts the polymorph energy (0 for the lowest one) at 4.4 kJ per mole of atoms.

The structure belongs to space group P4/mmm (No. 123); the cell edges are 4.412, 4.412 and 5.773 Å and the angles 90.00°, 90.00° and 90.00°. Symmetry generates all atoms from Ca at (0.000, 0.000, 0.000), Hg at (0.000, 0.500, 0.500) and Br at (0.500, 0.500, 0.000).


Entry 14:
Material: ErMg2Zn
Method: DFT, GGA-PBE
State: optimized geometry

The calculation puts the total energy at -2.2099 eV/atom. The density of states at the Fermi level is 2.65 states/eV/f.u. The calculation puts the energy of formation from the pure elements at 47 meV per atom.

The structure belongs to space group R-3m (No. 166, hexagonal axes); the cell edges are 3.3411, 3.3411 and 29.4927 Å and the angles 90.00°, 90.00° and 120.00°. Symmetry generates all atoms from Er at (0.0000, 0.0000, 0.0000), Mg at (0.0000, 0.0000, 0.2387) and Zn at (0.0000, 0.0000, 0.5000).


Entry 15:
Material: CrCdBr2
Method: DFT, GGA-PBE
State: optimized geometry

The calculation puts the total energy at -3.4590 eV/atom. The density of states at the Fermi level is 1.32 states/eV/f.u. The calculation puts the polymorph energy (0 for the lowest one) at 33.0 kJ per mole of atoms.

The structure belongs to space group Pmmm (No. 47); the cell edges are 4.045, 4.069 and 6.783 Å and the angles 90.00°, 90.00° and 90.00°. Symmetry generates all atoms from Cr at (0.000, 0.000, 0.000), Cd at (0.000, 0.500, 0.500), Br at (0.500, 0.000, 0.500) and Br at (0.500, 0.500, 0.000).


Entry 16:
Material: Pm6Pr2Sm3Sc
Method: DFT, GGA-PBE
State: optimized geometry

The calculation puts the total energy at -4.8538 eV/atom. The density of states at the Fermi level is 17.39 states/eV/f.u. The calculation puts the energy of formation from the pure elements at 25 meV per atom.

The structure belongs to space group C2/m (No. 12); the cell edges are 6.278, 10.869 and 12.035 Å and the angles 90.00°, 100.06° and 90.00°. Symmetry generates all atoms from Pm at (0.247, 0.000, 0.251), Pm at (0.247, 0.164, 0.749), Pr at (0.000, 0.333, 0.500), Sm at (0.000, 0.166, 0.000), Sm at (0.000, 0.500, 0.000) and Sc at (0.000, 0.000, 0.500).


Entry 17:
Material: NdAl2Ag10
Method: DFT, GGA-PBE
State: optimized geometry

The calculation puts the total energy at -3.2459 eV/atom. The density of states at the Fermi level is 4.96 states/eV/f.u. The calculation puts the energy of formation from the pure elements at -110 meV per atom.

The structure belongs to space group Fmmm (No. 69); the cell edges are 5.426, 13.450 and 13.541 Å and the angles 90.00°, 90.00° and 90.00°. Symmetry generates all atoms from Nd at (0.000, 0.000, 0.000), Al at (0.250, 0.250, 0.000), Ag at (0.000, 0.111, 0.395), Ag at (0.000, 0.178, 0.169) and Ag at (0.250, 0.000, 0.250).


Entry 18:
Material: Si2TcS6
Method: DFT, GGA-PBE
State: optimized geometry

The calculation puts the total energy at -5.4793 eV/atom. The density of states at the Fermi level is 4.70 states/eV/f.u.

The structure belongs to space group C2/c (No. 15); the cell edges are 11.607, 10.420 and 6.156 Å and the angles 90.00°, 101.68° and 90.00°. Symmetry generates all atoms from Si at (0.203, 0.080, 0.335), Tc at (0.000, 0.380, 0.250), S at (0.106, 0.420, 0.619), S at (0.131, 0.247, 0.140) and S at (0.132, 0.081, 0.631).


Entry 19:
Material: Ho4UTlS8
Method: DFT, GGA-PBE
State: optimized geometry

The calculation puts the total energy at -6.2966 eV/atom. The density of states at the Fermi level is 8.44 states/eV/f.u.

The structure belongs to space group R3m (No. 160, hexagonal axes); the cell edges are 8.2068, 8.2068 and 19.9845 Å and the angles 90.00°, 90.00° and 120.00°. Symmetry generates all atoms from Ho at (0.0000, 0.0000, 0.0000), Ho at (0.1715, 0.3430, 0.2080), U at (0.0000, 0.0000, 0.3771), Tl at (0.0000, 0.0000, 0.7525), S at (0.0000, 0.0000, 0.1329), S at (0.0000, 0.0000, 0.6099), S at (0.0464, 0.5232, 0.1306) and S at (0.1747, 0.3495, 0.9538).


Entry 20:
Material: Mg4ZrRu
Method: DFT, GGA-PBE
State: optimized geometry

The calculation puts the total energy at -3.8054 eV/atom. The density of states at the Fermi level is 0.55 states/eV/f.u. The calculation puts the energy of formation from the pure elements at 228 meV per atom.

The structure belongs to space group F-43m (No. 216); the cell edges are 7.708, 7.708 and 7.708 Å and the angles 90.00°, 90.00° and 90.00°. Symmetry generates all atoms from Mg at (0.124, 0.124, 0.124), Zr at (0.000, 0.000, 0.500) and Ru at (0.250, 0.250, 0.750).


Entry 21:
Material: SmEuTi4O12
Method: DFT, GGA-PBE
State: optimized geometry

The calculation puts the total energy at -8.6113 eV/atom. The density of states at the Fermi level is 15.66 states/eV/f.u.

The structure belongs to space group P4/mmm (No. 123); the cell edges are 5.477, 5.477 and 7.746 Å and the angles 90.00°, 90.00° and 90.00°. Symmetry generates all atoms from Sm at (0.000, 0.000, 0.000), Eu at (0.500, 0.500, 0.500), Ti at (0.000, 0.500, 0.250), O at (0.000, 0.500, 0.000), O at (0.000, 0.500, 0.500) and O at (0.247, 0.247, 0.244).